Record 1
A plane-wave DFT calculation with GGA-PBE was carried out for Be2ZnFe after structural relaxation.

Cell: 2.617 2.617 6.010 Å, 90.00 90.00 90.00°
Space group P4mm (No. 99)
One atom of each set of equivalent atoms:
Be (0.000, 0.000, 0.000) x1
Be (0.500, 0.500, 0.189) x1
Zn (0.500, 0.500, 0.733) x1
Fe (0.000, 0.000, 0.423) x1

Results
- magnetization (μB/f.u.) = 2.3
- DOS(E_F) (states/eV/f.u.) = 1.1
- calculated volume (Å³ per cell) = 41
- total DFT energy (no corrections) (eV per atom) = -4.2791

Record 2
A plane-wave DFT calculation with GGA-PBE was carried out for BeZn2Fe after structural relaxation.

Cell: 5.761 5.761 5.761 Å, 90.00 90.00 90.00°
Space group F-43m (No. 216)
One atom of each set of equivalent atoms:
Be (0.000, 0.000, 0.000) x4
Zn (0.000, 0.000, 0.500) x4
Zn (0.250, 0.250, 0.250) x4
Fe (0.250, 0.250, 0.750) x4

Results
- magnetization (μB/f.u.) = 2.0
- DOS(E_F) (states/eV/f.u.) = 4.4
- calculated volume (Å³ per cell) = 191
- total DFT energy (no corrections) (eV per atom) = -3.5293